VASP calculation (GGA-PBE) on an optimized crystal structure of Ni5Hg.

It has space group F-43m (No. 216), with a = 6.712 Å, b = 6.712 Å, c = 6.712 Å, α = 90.00°, β = 90.00° and γ = 90.00°. The inequivalent atoms are Ni at (0.000, 0.000, 0.000), Ni at (0.126, 0.126, 0.626) and Hg at (0.250, 0.250, 0.250).

For the magnetic moment, the calculation gives 0.0 Bohr magnetons per cell. The energy relative to the elements comes out at 0.21 eV/atom.

VASP calculation (GGA-PBE) on an optimized crystal structure of NiHg3.

It has space group Pmm2 (No. 25), with a = 3.067 Å, b = 4.129 Å, c = 7.540 Å, α = 90.00°, β = 90.00° and γ = 90.00°. The inequivalent atoms are Ni at (0.000, 0.000, 0.000), Hg at (0.000, 0.500, 0.549), Hg at (0.500, 0.000, 0.289) and Hg at (0.500, 0.500, 0.925).

For the magnetic moment, the calculation gives 0.0 Bohr magnetons per cell. As for the relative energy among the computed polymorphs: 102 meV/atom. The energy relative to the elements comes out at 0.23 eV/atom.

VASP calculation (GGA-PBE) on an optimized crystal structure of NiHg3.

It has space group R-3m (No. 166, hexagonal axes), with a = 3.2956 Å, b = 3.2956 Å, c = 27.1123 Å, α = 90.00°, β = 90.00° and γ = 120.00°. The inequivalent atoms are Ni at (0.0000, 0.0000, 0.0000), Hg at (0.0000, 0.0000, 0.2642) and Hg at (0.0000, 0.0000, 0.5000).

For the magnetic moment, the calculation gives 0.0 Bohr magnetons per cell. As for the relative energy among the computed polymorphs: 115 meV/atom. The energy relative to the elements comes out at 0.24 eV/atom.

VASP calculation (GGA-PBE) on an optimized crystal structure of NiHg.

It has space group R-3m (No. 166, hexagonal axes), with a = 3.0709 Å, b = 3.0709 Å, c = 12.1769 Å, α = 90.00°, β = 90.00° and γ = 120.00°. The inequivalent atoms are Ni at (0.0000, 0.0000, 0.0000) and Hg at (0.0000, 0.0000, 0.5000).

For the magnetic moment, the calculation gives 0.0 Bohr magnetons per cell. The energy relative to the elements comes out at 0.33 eV/atom.

VASP calculation (GGA-PBE) on an optimized crystal structure of NiHg3.

It has space group Cmmm (No. 65), with a = 5.774 Å, b = 8.229 Å, c = 3.396 Å, α = 90.00°, β = 90.00° and γ = 90.00°. The inequivalent atoms are Ni at (0.000, 0.000, 0.000), Hg at (0.000, 0.500, 0.000) and Hg at (0.250, 0.250, 0.500).

For the magnetic moment, the calculation gives 0.0 Bohr magnetons per cell. As for the relative energy among the computed polymorphs: 211 meV/atom. The energy relative to the elements comes out at 0.34 eV/atom.

VASP calculation (GGA-PBE) on an optimized crystal structure of Ni3Hg.

It has space group Cmmm (No. 65), with a = 5.348 Å, b = 7.160 Å, c = 2.810 Å, α = 90.00°, β = 90.00° and γ = 90.00°. The inequivalent atoms are Ni at (0.000, 0.000, 0.000), Ni at (0.250, 0.250, 0.500) and Hg at (0.000, 0.500, 0.000).

For the magnetic moment, the calculation gives 2.0 Bohr magnetons per cell. The energy relative to the elements comes out at 0.28 eV/atom.